1.
Below is a geometry-optimized PuThCo2 structure, with properties calculated at the PBE level.

Unit cell a=6.767 b=6.767 c=6.767 alpha=90.00 beta=90.00 gamma=90.00
Space group Fm-3m (No. 225)
Inequivalent atoms, fractional coordinates:
Pu 0.000 0.000 0.000 [4 per cell]
Th 0.000 0.000 0.500 [4 per cell]
Co 0.250 0.250 0.250 [8 per cell]

Results
- Raw total energy: -9.01 eV/atom
- Fermi-level density of states: 42.67 states/eV per cell


2.
Below is a geometry-optimized PuThCo10 structure, with properties calculated at the PBE level.

Unit cell a=4.003 b=4.882 c=8.524 alpha=90.00 beta=90.00 gamma=90.00
Space group Pmmm (No. 47)
Inequivalent atoms, fractional coordinates:
Pu 0.000 0.000 0.000 [1 per cell]
Th 0.000 0.500 0.500 [1 per cell]
Co 0.000 0.000 0.315 [2 per cell]
Co 0.000 0.500 0.162 [2 per cell]
Co 0.500 0.000 0.500 [1 per cell]
Co 0.500 0.249 0.249 [4 per cell]
Co 0.500 0.500 0.000 [1 per cell]

Results
- Raw total energy: -7.74 eV/atom
- Fermi-level density of states: 32.72 states/eV per cell


Asked for magnetic moment across the records above, the calculation gives 18.086; 16.901 Bohr magnetons per cell in order.